one | La2CoNi: relaxed, PBE-GGA.

It has space group P4/mmm (No. 123), with a = 4.958 Å, b = 4.958 Å, c = 3.532 Å, α = 90.00°, β = 90.00° and γ = 90.00°. Symmetry generates all atoms from La at (0.000, 0.500, 0.000), Co at (0.000, 0.000, 0.500) and Ni at (0.500, 0.500, 0.500).

two | La2CoNi: relaxed, PBE-GGA.

It has space group R3m (No. 160, hexagonal axes), with a = 4.0354 Å, b = 4.0354 Å, c = 22.0478 Å, α = 90.00°, β = 90.00° and γ = 120.00°. Symmetry generates all atoms from La at (0.0000, 0.0000, 0.0000), La at (0.0000, 0.0000, 0.1717), Co at (0.0000, 0.0000, 0.4194) and Ni at (0.0000, 0.0000, 0.7521).

three | La2CoNi: relaxed, PBE-GGA.

It has space group F-43m (No. 216), with a = 6.798 Å, b = 6.798 Å, c = 6.798 Å, α = 90.00°, β = 90.00° and γ = 90.00°. Symmetry generates all atoms from La at (0.000, 0.000, 0.000), La at (0.250, 0.250, 0.250), Co at (0.000, 0.000, 0.500) and Ni at (0.250, 0.250, 0.750).

four | La2CoNi: relaxed, PBE-GGA.

It has space group Imm2 (No. 44), with a = 3.698 Å, b = 4.042 Å, c = 12.066 Å, α = 90.00°, β = 90.00° and γ = 90.00°. Symmetry generates all atoms from La at (0.000, 0.000, 0.000), La at (0.000, 0.500, 0.228), Co at (0.000, 0.000, 0.436) and Ni at (0.000, 0.500, 0.805).

Quick one: least stable of them? three

one | La2CoNi: relaxed, PBE-GGA.

It has space group Fm-3m (No. 225), with a = 7.031 Å, b = 7.031 Å, c = 7.031 Å, α = 90.00°, β = 90.00° and γ = 90.00°. Symmetry generates all atoms from La at (0.250, 0.250, 0.250), Co at (0.000, 0.000, 0.000) and Ni at (0.000, 0.000, 0.500).

two | La2CoNi: relaxed, PBE-GGA.

It has space group P2_1/m (No. 11), with a = 6.052 Å, b = 3.992 Å, c = 7.869 Å, α = 90.00°, β = 108.95° and γ = 90.00°. Symmetry generates all atoms from La at (0.229, 0.250, 0.426), La at (0.229, 0.250, 0.938), Co at (0.347, 0.750, 0.214) and Ni at (0.362, 0.750, 0.714).

Quick one: least stable of them? one

one | La2CoNi: relaxed, PBE-GGA.

It has space group C2/m (No. 12), with a = 7.043 Å, b = 4.069 Å, c = 6.994 Å, α = 90.00°, β = 109.51° and γ = 90.00°. Symmetry generates all atoms from La at (0.247, 0.000, 0.240), Co at (0.000, 0.500, 0.000) and Ni at (0.000, 0.000, 0.500).

two | La2CoNi: relaxed, PBE-GGA.

It has space group P4mm (No. 99), with a = 3.472 Å, b = 3.472 Å, c = 7.792 Å, α = 90.00°, β = 90.00° and γ = 90.00°. Symmetry generates all atoms from La at (0.000, 0.000, 0.000), La at (0.500, 0.500, 0.444), Co at (0.500, 0.500, 0.765) and Ni at (0.000, 0.000, 0.659).

Quick one: least stable of them? two

one | La4CoNi: relaxed, PBE-GGA.

It has space group F-43m (No. 216), with a = 8.807 Å, b = 8.807 Å, c = 8.807 Å, α = 90.00°, β = 90.00° and γ = 90.00°. Symmetry generates all atoms from La at (0.125, 0.125, 0.125), Co at (0.000, 0.000, 0.500) and Ni at (0.250, 0.250, 0.750).

two | La4CoNi: relaxed, PBE-GGA.

It has space group P2_1/m (No. 11), with a = 5.238 Å, b = 8.646 Å, c = 7.790 Å, α = 90.00°, β = 94.40° and γ = 90.00°. Symmetry generates all atoms from La at (0.014, 0.042, 0.240), La at (0.447, 0.750, 0.482), La at (0.479, 0.250, 0.960), Co at (0.038, 0.750, 0.106) and Ni at (0.065, 0.250, 0.579).

Quick one: least stable of them? one

one | La3CoNi: relaxed, PBE-GGA.

It has space group P2_1/c (No. 14), with a = 7.162 Å, b = 7.147 Å, c = 11.462 Å, α = 90.00°, β = 120.06° and γ = 90.00°. Symmetry generates all atoms from La at (0.093, 0.194, 0.242), La at (0.303, 0.515, 0.074), La at (0.332, 0.002, 0.060), Co at (0.018, 0.709, 0.564) and Ni at (0.320, 0.703, 0.815).

two | La3CoNi: relaxed, PBE-GGA.

It has space group Pm-3m (No. 221), with a = 5.240 Å, b = 5.240 Å, c = 5.240 Å, α = 90.00°, β = 90.00° and γ = 90.00°. Symmetry generates all atoms from La at (0.000, 0.000, 0.500), Co at (0.000, 0.000, 0.000) and Ni at (0.500, 0.500, 0.500).

Quick one: least stable of them? two

one | LaPrCoNi: relaxed, PBE-GGA.

It has space group Amm2 (No. 38), with a = 3.990 Å, b = 3.941 Å, c = 11.383 Å, α = 90.00°, β = 90.00° and γ = 90.00°. Symmetry generates all atoms from La at (0.000, 0.000, 0.000), Pr at (0.500, 0.000, 0.725), Co at (0.500, 0.000, 0.436) and Ni at (0.000, 0.000, 0.300).

two | LaPrCoNi: relaxed, PBE-GGA.

It has space group F-43m (No. 216), with a = 7.011 Å, b = 7.011 Å, c = 7.011 Å, α = 90.00°, β = 90.00° and γ = 90.00°. Symmetry generates all atoms from La at (0.000, 0.000, 0.000), Pr at (0.000, 0.000, 0.500), Co at (0.250, 0.250, 0.750) and Ni at (0.250, 0.250, 0.250).

Quick one: least stable of them? two

one | LaTbCoNi: relaxed, PBE-GGA.

It has space group Amm2 (No. 38), with a = 3.981 Å, b = 3.873 Å, c = 11.009 Å, α = 90.00°, β = 90.00° and γ = 90.00°. Symmetry generates all atoms from La at (0.000, 0.000, 0.000), Tb at (0.500, 0.000, 0.277), Co at (0.500, 0.000, 0.571) and Ni at (0.000, 0.000, 0.711).

two | LaTbCoNi: relaxed, PBE-GGA.

It has space group F-43m (No. 216), with a = 6.888 Å, b = 6.888 Å, c = 6.888 Å, α = 90.00°, β = 90.00° and γ = 90.00°. Symmetry generates all atoms from La at (0.000, 0.000, 0.000), Tb at (0.000, 0.000, 0.500), Co at (0.250, 0.250, 0.750) and Ni at (0.250, 0.250, 0.250).

Quick one: least stable of them? two